# 1
# CaZn2H

CaZn2H after structural relaxation (GGA-PBE, the Alexandria database).

```
data_CaZn2H
_symmetry_space_group_name_H-M 'P 1'
_symmetry_Int_Tables_number 1
_symmetry_space_group_name_Hall 'P 1'
_cell_length_a 3.504
_cell_length_b 11.780
_cell_length_c 3.507
_cell_angle_alpha 90.00
_cell_angle_beta 90.00
_cell_angle_gamma 90.00
loop_
_atom_site_label
_atom_site_type_symbol
_atom_site_fract_x
_atom_site_fract_y
_atom_site_fract_z
Zn1 Zn 0.500 0.248 0.706
Zn2 Zn 0.000 0.252 0.206
Zn3 Zn 0.500 0.752 0.706
Zn4 Zn 0.000 0.748 0.206
Ca1 Ca 0.000 0.500 0.716
Ca2 Ca 0.500 0.000 0.216
H1 H 0.000 0.000 0.718
H2 H 0.500 0.500 0.218
```

Properties
VASP energy   -8.149 eV/f.u.
Offset from the most stable computed form   90 kJ/mol of formula units
SG   Imm2
Size of the total moment   0.00 μB per formula unit



# 2
# Ca2ZnH

Ca2ZnH after structural relaxation (GGA-PBE, the Alexandria database).

```
data_Ca2ZnH
_symmetry_space_group_name_H-M 'P 1'
_symmetry_Int_Tables_number 1
_symmetry_space_group_name_Hall 'P 1'
_cell_length_a 3.367
_cell_length_b 3.367
_cell_length_c 7.515
_cell_angle_alpha 90.00
_cell_angle_beta 90.00
_cell_angle_gamma 90.00
loop_
_atom_site_label
_atom_site_type_symbol
_atom_site_fract_x
_atom_site_fract_y
_atom_site_fract_z
Ca1 Ca 0.000 0.000 0.765
Ca2 Ca 0.000 0.000 0.235
Zn1 Zn 0.500 0.500 0.500
H1 H 0.500 0.500 0.000
```

Properties
VASP energy   -8.815 eV/f.u.
Offset from the most stable computed form   54 kJ/mol of formula units
SG   P4/mmm
Size of the total moment   0.00 μB per formula unit



# 3
# CaZn2H

CaZn2H after structural relaxation (GGA-PBE, the Alexandria database).

```
data_CaZn2H
_symmetry_space_group_name_H-M 'P 1'
_symmetry_Int_Tables_number 1
_symmetry_space_group_name_Hall 'P 1'
_cell_length_a 3.724
_cell_length_b 8.096
_cell_length_c 4.604
_cell_angle_alpha 90.00
_cell_angle_beta 90.00
_cell_angle_gamma 90.00
loop_
_atom_site_label
_atom_site_type_symbol
_atom_site_fract_x
_atom_site_fract_y
_atom_site_fract_z
Zn1 Zn 0.500 0.186 0.006
Zn2 Zn 0.500 0.814 0.006
Zn3 Zn 0.500 0.686 0.506
Zn4 Zn 0.500 0.314 0.506
Ca1 Ca 0.000 0.000 0.505
Ca2 Ca 0.000 0.500 0.005
H1 H 0.500 0.500 0.706
H2 H 0.500 0.000 0.206
```

Properties
VASP energy   -8.598 eV/f.u.
Offset from the most stable computed form   47 kJ/mol of formula units
SG   Amm2
Size of the total moment   0.00 μB per formula unit



# 4
# Ca2Zn2H

Ca2Zn2H after structural relaxation (GGA-PBE, the Alexandria database).

```
data_Ca2Zn2H
_symmetry_space_group_name_H-M 'P 1'
_symmetry_Int_Tables_number 1
_symmetry_space_group_name_Hall 'P 1'
_cell_length_a 5.927
_cell_length_b 5.927
_cell_length_c 5.367
_cell_angle_alpha 56.48
_cell_angle_beta 56.48
_cell_angle_gamma 90.00
loop_
_atom_site_label
_atom_site_type_symbol
_atom_site_fract_x
_atom_site_fract_y
_atom_site_fract_z
H1 H 0.000 0.000 0.000
Zn1 Zn 0.318 0.318 0.364
Zn2 Zn 0.682 0.682 0.636
Ca1 Ca 0.250 0.750 0.500
Ca2 Ca 0.750 0.250 0.500
```

Properties
VASP energy   -8.695 eV/f.u.
Offset from the most stable computed form   40 kJ/mol of formula units
SG   I4/mmm
Size of the total moment   0.00 μB per formula unit



# 5
# Ca3Zr5H12

Ca3Zr5H12 after structural relaxation (GGA-PBE, the Alexandria database).

```
data_Ca3Zr5H12
_symmetry_space_group_name_H-M 'P 1'
_symmetry_Int_Tables_number 1
_symmetry_space_group_name_Hall 'P 1'
_cell_length_a 10.841
_cell_length_b 10.841
_cell_length_c 10.841
_cell_angle_alpha 109.47
_cell_angle_beta 109.47
_cell_angle_gamma 109.47
loop_
_atom_site_label
_atom_site_type_symbol
_atom_site_fract_x
_atom_site_fract_y
_atom_site_fract_z
H1 H 0.952 0.593 0.163
H2 H 0.070 0.907 0.358
H3 H 0.930 0.837 0.789
H4 H 0.663 0.452 0.593
H5 H 0.837 0.907 0.048
H6 H 0.211 0.548 0.642
H7 H 0.907 0.837 0.548
H8 H 0.211 0.663 0.070
H9 H 0.711 0.570 0.163
H10 H 0.407 0.358 0.570
H11 H 0.548 0.211 0.142
H12 H 0.548 0.337 0.907
H13 H 0.163 0.070 0.711
H14 H 0.642 0.593 0.930
H15 H 0.452 0.789 0.858
H16 H 0.048 0.407 0.837
H17 H 0.711 0.142 0.048
H18 H 0.163 0.093 0.952
H19 H 0.337 0.789 0.430
H20 H 0.789 0.452 0.358
H21 H 0.837 0.930 0.289
H22 H 0.093 0.930 0.142
H23 H 0.093 0.163 0.452
H24 H 0.663 0.211 0.570
H25 H 0.930 0.093 0.642
H26 H 0.452 0.663 0.093
H27 H 0.289 0.858 0.952
H28 H 0.430 0.142 0.593
H29 H 0.337 0.548 0.407
H30 H 0.593 0.642 0.430
H31 H 0.358 0.407 0.070
H32 H 0.407 0.048 0.337
H33 H 0.142 0.711 0.548
H34 H 0.289 0.430 0.837
H35 H 0.858 0.289 0.452
H36 H 0.070 0.163 0.211
H37 H 0.358 0.952 0.789
H38 H 0.642 0.048 0.211
H39 H 0.593 0.952 0.663
H40 H 0.430 0.289 0.337
H41 H 0.048 0.642 0.711
H42 H 0.570 0.711 0.663
H43 H 0.858 0.570 0.907
H44 H 0.789 0.337 0.930
H45 H 0.142 0.430 0.093
H46 H 0.570 0.858 0.407
H47 H 0.907 0.070 0.858
H48 H 0.952 0.358 0.289
Ca1 Ca 0.125 0.875 0.750
Ca2 Ca 0.250 0.125 0.375
Ca3 Ca 0.875 0.750 0.125
Ca4 Ca 0.625 0.250 0.375
Ca5 Ca 0.750 0.875 0.625
Ca6 Ca 0.375 0.625 0.250
Ca7 Ca 0.375 0.750 0.625
Ca8 Ca 0.750 0.375 0.125
Ca9 Ca 0.625 0.375 0.750
Ca10 Ca 0.875 0.125 0.250
Ca11 Ca 0.250 0.625 0.875
Ca12 Ca 0.125 0.250 0.875
Zr1 Zr 0.125 0.750 0.375
Zr2 Zr 0.750 0.125 0.875
Zr3 Zr 0.625 0.875 0.250
Zr4 Zr 0.125 0.375 0.250
Zr5 Zr 0.375 0.125 0.750
Zr6 Zr 0.250 0.875 0.125
Zr7 Zr 0.000 0.000 0.500
Zr8 Zr 0.500 0.000 0.000
Zr9 Zr 0.875 0.625 0.750
Zr10 Zr 0.750 0.625 0.375
Zr11 Zr 0.500 0.500 0.500
Zr12 Zr 0.875 0.250 0.625
Zr13 Zr 0.000 0.500 0.500
Zr14 Zr 0.000 0.000 0.000
Zr15 Zr 0.625 0.750 0.875
Zr16 Zr 0.500 0.000 0.500
Zr17 Zr 0.250 0.375 0.625
Zr18 Zr 0.500 0.500 0.000
Zr19 Zr 0.375 0.250 0.125
Zr20 Zr 0.000 0.500 0.000
```

Properties
VASP energy   -95.883 eV/f.u.
SG   Ia-3d
Size of the total moment   0.94 μB per formula unit



# 6
# CaZrH3

CaZrH3 after structural relaxation (GGA-PBE, the Alexandria database).

```
data_CaZrH3
_symmetry_space_group_name_H-M 'P 1'
_symmetry_Int_Tables_number 1
_symmetry_space_group_name_Hall 'P 1'
_cell_length_a 3.980
_cell_length_b 3.980
_cell_length_c 3.980
_cell_angle_alpha 90.00
_cell_angle_beta 90.00
_cell_angle_gamma 90.00
loop_
_atom_site_label
_atom_site_type_symbol
_atom_site_fract_x
_atom_site_fract_y
_atom_site_fract_z
H1 H 0.000 0.500 0.000
H2 H 0.500 0.000 0.000
H3 H 0.000 0.000 0.500
Ca1 Ca 0.000 0.000 0.000
Zr1 Zr 0.500 0.500 0.500
```

Properties
VASP energy   -19.330 eV/f.u.
Offset from the most stable computed form   269 kJ/mol of formula units
SG   Pm-3m
Size of the total moment   1.49 μB per formula unit



# 7
# CaZrH

CaZrH after structural relaxation (GGA-PBE, the Alexandria database).

```
data_CaZrH
_symmetry_space_group_name_H-M 'P 1'
_symmetry_Int_Tables_number 1
_symmetry_space_group_name_Hall 'P 1'
_cell_length_a 3.344
_cell_length_b 3.342
_cell_length_c 11.716
_cell_angle_alpha 90.00
_cell_angle_beta 90.00
_cell_angle_gamma 120.02
loop_
_atom_site_label
_atom_site_type_symbol
_atom_site_fract_x
_atom_site_fract_y
_atom_site_fract_z
H1 H 0.610 0.220 0.000
H2 H 0.279 0.558 0.500
Ca1 Ca 0.277 0.554 0.143
Ca2 Ca 0.277 0.554 0.857
Zr1 Zr 0.612 0.224 0.624
Zr2 Zr 0.612 0.224 0.376
```

Properties
VASP energy   -13.763 eV/f.u.
SG   Amm2
Size of the total moment   0.00 μB per formula unit



# 8
# Ca2ZrH

Ca2ZrH after structural relaxation (GGA-PBE, the Alexandria database).

```
data_Ca2ZrH
_symmetry_space_group_name_H-M 'P 1'
_symmetry_Int_Tables_number 1
_symmetry_space_group_name_Hall 'P 1'
_cell_length_a 6.870
_cell_length_b 6.870
_cell_length_c 6.441
_cell_angle_alpha 57.78
_cell_angle_beta 57.78
_cell_angle_gamma 90.00
loop_
_atom_site_label
_atom_site_type_symbol
_atom_site_fract_x
_atom_site_fract_y
_atom_site_fract_z
Ca1 Ca 0.478 0.125 0.250
Ca2 Ca 0.272 0.625 0.250
Ca3 Ca 0.375 0.522 0.750
Ca4 Ca 0.875 0.728 0.750
Zr1 Zr 0.750 0.250 0.500
Zr2 Zr 0.000 0.000 0.000
H1 H 0.500 0.500 0.000
H2 H 0.250 0.750 0.500
```

Properties
VASP energy   -14.697 eV/f.u.
Offset from the most stable computed form   12 kJ/mol of formula units
SG   I-42d
Size of the total moment   1.14 μB per formula unit



> Look up the size of the total moment of the second one.

0.00 μB per formula unit



> The lowest VASP energy belongs to which entry?

Ca3Zr5H12